# 1
VASP calculation (GGA-PBE) on Mg2AlI8 after structural relaxation.

Calculated values
space-group type	C2/m

abc: 8.2089 8.1745 11.6122
angles: 111.40 90.00 120.14
Closest atoms and distances in Å follow each position.
Sites, in units of the cell vectors:
Mg  0.2364  0.4727  0.3504  4 I 2.64-2.88
Mg  0.7636  0.5273  0.6496  4 I 2.64-2.88
Al  0.0000  0.0000  0.0000  4 I 2.66
I  0.1164  0.7714  0.8417  1 Al 2.66, 1 Mg 2.88
I  0.3450  0.2286  0.1583  1 Al 2.66, 1 Mg 2.88
I  0.1943  0.3885  0.5515  1 Mg 2.64
I  0.8057  0.6115  0.4485  1 Mg 2.64
I  0.6550  0.7714  0.8417  1 Al 2.66, 1 Mg 2.88
I  0.8836  0.2286  0.1583  1 Al 2.66, 1 Mg 2.88
I  0.4295  0.8590  0.3477  1 Mg 2.74
I  0.5705  0.1410  0.6523  1 Mg 2.74

# 2
VASP calculation (GGA-PBE) on MgAlI after structural relaxation.

Calculated values
space-group type	Amm2

abc: 3.8570 3.8115 14.7701
angles: 90.00 90.00 120.40
Closest atoms and distances in Å follow each position.
Sites, in units of the cell vectors:
Mg  0.5312  0.0623  0.0000  6 I 2.91-2.92
Mg  0.3568  0.7135  0.5000  6 Al 2.98
Al  0.6933  0.3866  0.3649  3 Mg 2.98
Al  0.6933  0.3866  0.6351  3 Mg 2.98
I  0.1960  0.3920  0.8714  3 Mg 2.91-2.92
I  0.1960  0.3920  0.1286  3 Mg 2.91-2.92

# 3
VASP calculation (GGA-PBE) on Mg16Al12I after structural relaxation.

Calculated values
space-group type	I-43m

abc: 9.2103 9.2103 9.2103
angles: 109.47 109.47 109.47
Closest atoms and distances in Å follow each position.
Sites, in units of the cell vectors:
Mg  0.3352  0.3352  0.3352  3 Mg 3.07, 1 I 3.09, 6 Al 3.14
Mg  0.0000  0.0000  0.6648  3 Mg 3.07, 1 I 3.09, 6 Al 3.14
Mg  0.3132  0.3132  0.7184  5 Al 2.88-3.13, 7 Mg 3.07-3.22
Mg  0.5948  0.5948  0.2816  5 Al 2.88-3.13, 7 Mg 3.07-3.22
Mg  0.6868  0.4052  0.0000  5 Al 2.88-3.13, 7 Mg 3.07-3.22
Mg  0.0000  0.6868  0.4052  5 Al 2.88-3.13, 7 Mg 3.07-3.22
Mg  0.5948  0.2816  0.5948  5 Al 2.88-3.13, 7 Mg 3.07-3.22
Mg  0.0000  0.6648  0.0000  3 Mg 3.07, 1 I 3.09, 6 Al 3.14
Mg  0.7184  0.3132  0.3132  5 Al 2.88-3.13, 7 Mg 3.07-3.22
Mg  0.4052  0.0000  0.6868  5 Al 2.88-3.13, 7 Mg 3.07-3.22
Mg  0.0000  0.4052  0.6868  5 Al 2.88-3.13, 7 Mg 3.07-3.22
Mg  0.3132  0.7184  0.3132  5 Al 2.88-3.13, 7 Mg 3.07-3.22
Mg  0.6648  0.0000  0.0000  3 Mg 3.07, 1 I 3.09, 6 Al 3.14
Mg  0.2816  0.5948  0.5948  5 Al 2.88-3.13, 7 Mg 3.07-3.22
Mg  0.6868  0.0000  0.4052  5 Al 2.88-3.13, 7 Mg 3.07-3.22
Mg  0.4052  0.6868  0.0000  5 Al 2.88-3.13, 7 Mg 3.07-3.22
Al  0.8116  0.8116  0.1889  3 Al 2.83-2.84, 7 Mg 2.88-3.14
Al  0.6226  0.6226  0.8111  3 Al 2.83-2.84, 7 Mg 2.88-3.14
Al  0.1884  0.0000  0.3774  3 Al 2.83-2.84, 7 Mg 2.88-3.14
Al  0.8111  0.6226  0.6226  3 Al 2.83-2.84, 7 Mg 2.88-3.14
Al  0.3774  0.1884  0.0000  3 Al 2.83-2.84, 7 Mg 2.88-3.14
Al  0.3774  0.0000  0.1884  3 Al 2.83-2.84, 7 Mg 2.88-3.14
Al  0.1889  0.8116  0.8116  3 Al 2.83-2.84, 7 Mg 2.88-3.14
Al  0.0000  0.3774  0.1884  3 Al 2.83-2.84, 7 Mg 2.88-3.14
Al  0.8116  0.1889  0.8116  3 Al 2.83-2.84, 7 Mg 2.88-3.14
Al  0.1884  0.3774  0.0000  3 Al 2.83-2.84, 7 Mg 2.88-3.14
Al  0.0000  0.1884  0.3774  3 Al 2.83-2.84, 7 Mg 2.88-3.14
Al  0.6226  0.8111  0.6226  3 Al 2.83-2.84, 7 Mg 2.88-3.14
I  0.0000  0.0000  0.0000  4 Mg 3.09, 12 Al 3.33

# 4
VASP calculation (GGA-PBE) on MgAlI2O after structural relaxation.

Calculated values
space-group type	P4/mmm
relative energy among the computed polymorphs	0	meV per atom

abc: 5.8035 5.8035 3.5450
angles: 90.00 90.00 90.00
Closest atoms and distances in Å follow each position.
Sites, in units of the cell vectors:
I  0.0000  0.5000  0.0000  2 Al 2.90
I  0.5000  0.0000  0.0000  2 Al 2.90
Mg  0.5000  0.5000  0.5000  8 I 3.40, 2 Mg 3.54
Al  0.0000  0.0000  0.0000  2 O 1.77
O  0.0000  0.0000  0.5000  2 Al 1.77

# 5
VASP calculation (GGA-PBE) on MgAlIO6 after structural relaxation.

Calculated values
space-group type	P-31c

abc: 4.9752 4.9752 9.2080
angles: 90.00 90.00 120.00
Closest atoms and distances in Å follow each position.
Sites, in units of the cell vectors:
Mg  0.0000  0.0000  0.0000  6 O 2.18
Mg  0.0000  0.0000  0.5000  6 O 2.18
Al  0.3333  0.6667  0.2500  6 O 1.92
Al  0.6667  0.3333  0.7500  6 O 1.92
I  0.6667  0.3333  0.2500  6 O 1.90
I  0.3333  0.6667  0.7500  6 O 1.90
O  0.6425  0.6400  0.1365  1 I 1.90, 1 Al 1.92
O  0.9975  0.3575  0.1365  1 I 1.90, 1 Al 1.92
O  0.3575  0.9975  0.6365  1 I 1.90, 1 Al 1.92
O  0.0025  0.6425  0.8635  1 I 1.90, 1 Al 1.92
O  0.3600  0.3575  0.3635  1 I 1.90, 1 Al 1.92
O  0.9975  0.6400  0.3635  1 I 1.90, 1 Al 1.92
O  0.6400  0.9975  0.8635  1 I 1.90, 1 Al 1.92
O  0.6425  0.0025  0.3635  1 I 1.90, 1 Al 1.92
O  0.0025  0.3600  0.6365  1 I 1.90, 1 Al 1.92
O  0.3600  0.0025  0.1365  1 I 1.90, 1 Al 1.92
O  0.6400  0.6425  0.6365  1 I 1.90, 1 Al 1.92
O  0.3575  0.3600  0.8635  1 I 1.90, 1 Al 1.92

# 6
VASP calculation (GGA-PBE) on MgAlI2O after structural relaxation.

Calculated values
space-group type	P4/mmm
relative energy among the computed polymorphs	377	meV per atom

abc: 5.9019 5.9019 3.7922
angles: 90.00 90.00 90.00
Closest atoms and distances in Å follow each position.
Sites, in units of the cell vectors:
I  0.0000  0.5000  0.0000  2 Mg 2.95
I  0.5000  0.0000  0.0000  2 Mg 2.95
Mg  0.0000  0.0000  0.0000  2 O 1.90
Al  0.5000  0.5000  0.5000  8 I 3.51, 2 Al 3.79
O  0.0000  0.0000  0.5000  2 Mg 1.90

How do the records compare in total moment? In the order shown, they have 0.09 0.00 0.00 0.00 0.00 0.00 μB per atom.
How do the records compare in ΔE_f (raw)? In the order shown, they have -594 51 26 -888 -1607 -511 meV per atom.